1.
## CaHf2Ag2 (PBE)

Data for a relaxed structure of CaHf2Ag2.

Geometry as CIF:
```
data_CaHf2Ag2
_chemical_formula_sum 'Ca1 Hf2 Ag2'
_space_group_name_H-M_alt 'P 1'
_space_group_IT_number 1
_space_group_name_Hall 'P 1'
_cell_length_a 5.0749
_cell_length_b 5.0749
_cell_length_c 6.1919
_cell_angle_alpha 65.81
_cell_angle_beta 65.81
_cell_angle_gamma 90.00
loop_
_atom_site_label
_atom_site_fract_x
_atom_site_fract_y
_atom_site_fract_z
_atom_site_occupancy
Ca1 0.0000 0.0000 0.0000 1
Hf1 0.6448 0.6448 0.7104 1
Hf2 0.3552 0.3552 0.2896 1
Ag1 0.2500 0.7500 0.5000 1
Ag2 0.7500 0.2500 0.5000 1
```

Summary:
Total DFT energy (no corrections)   -5.08 eV per atom
DFT formation energy   2.2 eV per formula unit
D(E_F)   0.68 states/eV/atom

2.
## Sm2Zn16Ru (PBE)

Data for a relaxed structure of Sm2Zn16Ru.

Geometry as CIF:
```
data_Sm2Zn16Ru
_chemical_formula_sum 'Sm2 Zn16 Ru1'
_space_group_name_H-M_alt 'P 1'
_space_group_IT_number 1
_space_group_name_Hall 'P 1'
_cell_length_a 6.8120
_cell_length_b 6.8120
_cell_length_c 6.8120
_cell_angle_alpha 82.95
_cell_angle_beta 82.95
_cell_angle_gamma 82.95
loop_
_atom_site_label
_atom_site_fract_x
_atom_site_fract_y
_atom_site_fract_z
_atom_site_occupancy
Sm1 0.6735 0.6735 0.6735 1
Sm2 0.3400 0.3400 0.3400 1
Zn1 0.6491 0.6491 0.1511 1
Zn2 0.9947 0.5072 0.9947 1
Zn3 0.7120 0.9977 0.2839 1
Zn4 0.6491 0.1511 0.6491 1
Zn5 0.8388 0.3557 0.3557 1
Zn6 0.3557 0.8388 0.3557 1
Zn7 0.7120 0.2839 0.9977 1
Zn8 0.5072 0.9947 0.9947 1
Zn9 0.9947 0.9947 0.5072 1
Zn10 0.9977 0.7120 0.2839 1
Zn11 0.2839 0.7120 0.9977 1
Zn12 0.2839 0.9977 0.7120 1
Zn13 0.1511 0.6491 0.6491 1
Zn14 0.1013 0.1013 0.1013 1
Zn15 0.3557 0.3557 0.8388 1
Zn16 0.9977 0.2839 0.7120 1
Ru1 0.9022 0.9022 0.9022 1
```

Summary:
Total DFT energy (no corrections)   -2.29 eV per atom
DFT formation energy   -4.4 eV per formula unit
D(E_F)   0.42 states/eV/atom

3.
## MgMoPt14 (PBE)

Data for a relaxed structure of MgMoPt14.

Geometry as CIF:
```
data_MgMoPt14
_chemical_formula_sum 'Mg1 Mo1 Pt14'
_space_group_name_H-M_alt 'P 1'
_space_group_IT_number 1
_space_group_name_Hall 'P 1'
_cell_length_a 5.6103
_cell_length_b 5.6103
_cell_length_c 7.9116
_cell_angle_alpha 90.00
_cell_angle_beta 90.00
_cell_angle_gamma 90.00
loop_
_atom_site_label
_atom_site_fract_x
_atom_site_fract_y
_atom_site_fract_z
_atom_site_occupancy
Pt1 0.3750 0.8750 0.0000 1
Pt2 0.6271 0.1229 0.2554 1
Pt3 0.6270 0.6270 0.7446 1
Pt4 0.8750 0.3750 0.0000 1
Pt5 0.8750 0.8750 0.0000 1
Pt6 0.6270 0.6270 0.2554 1
Pt7 0.1229 0.6271 0.2554 1
Pt8 0.8750 0.3750 0.5000 1
Pt9 0.1230 0.1230 0.7445 1
Pt10 0.3750 0.3750 0.0000 1
Pt11 0.1230 0.1230 0.2555 1
Pt12 0.3750 0.8750 0.5000 1
Pt13 0.6271 0.1229 0.7446 1
Pt14 0.1229 0.6271 0.7446 1
Mo1 0.8750 0.8750 0.5000 1
Mg1 0.3750 0.3750 0.5000 1
```

Summary:
Total DFT energy (no corrections)   -6.32 eV per atom
DFT formation energy   -4.1 eV per formula unit
D(E_F)   1.37 states/eV/atom

4.
## Tl8In2Hg (PBE)

Data for a relaxed structure of Tl8In2Hg.

Geometry as CIF:
```
data_Tl8In2Hg
_chemical_formula_sum 'Tl8 In2 Hg1'
_space_group_name_H-M_alt 'P 1'
_space_group_IT_number 1
_space_group_name_Hall 'P 1'
_cell_length_a 5.6156
_cell_length_b 8.4479
_cell_length_c 8.4479
_cell_angle_alpha 69.73
_cell_angle_beta 78.33
_cell_angle_gamma 78.33
loop_
_atom_site_label
_atom_site_fract_x
_atom_site_fract_y
_atom_site_fract_z
_atom_site_occupancy
Tl1 0.6862 0.6118 0.6118 1
Tl2 0.9052 0.2422 0.2422 1
Tl3 0.0948 0.7578 0.7578 1
Tl4 0.3138 0.3882 0.3882 1
Tl5 0.2060 0.8026 0.3517 1
Tl6 0.2060 0.3517 0.8026 1
Tl7 0.7940 0.6483 0.1974 1
Tl8 0.7940 0.1974 0.6483 1
In1 0.4796 0.1275 0.1275 1
In2 0.5204 0.8725 0.8725 1
Hg1 0.0000 0.0000 0.0000 1
```

Summary:
Total DFT energy (no corrections)   -2.15 eV per atom
DFT formation energy   1.1 eV per formula unit
D(E_F)   0.49 states/eV/atom

5.
## Cd2SiOs2 (PBE)

Data for a relaxed structure of Cd2SiOs2.

Geometry as CIF:
```
data_Cd2SiOs2
_chemical_formula_sum 'Cd4 Si2 Os4'
_space_group_name_H-M_alt 'P 1'
_space_group_IT_number 1
_space_group_name_Hall 'P 1'
_cell_length_a 6.1781
_cell_length_b 6.1781
_cell_length_c 4.6031
_cell_angle_alpha 90.00
_cell_angle_beta 90.00
_cell_angle_gamma 90.00
loop_
_atom_site_label
_atom_site_fract_x
_atom_site_fract_y
_atom_site_fract_z
_atom_site_occupancy
Si1 0.0000 0.0000 0.0000 1
Si2 0.5000 0.5000 0.0000 1
Cd1 0.6693 0.8307 0.5000 1
Cd2 0.3307 0.1693 0.5000 1
Cd3 0.1693 0.6693 0.5000 1
Cd4 0.8307 0.3307 0.5000 1
Os1 0.6421 0.1421 0.0000 1
Os2 0.8579 0.6421 0.0000 1
Os3 0.1421 0.3579 0.0000 1
Os4 0.3579 0.8579 0.0000 1
```

Summary:
E_form (uncorrected)   0.174 eV/atom
Total DFT energy (no corrections)   -5.77 eV per atom
D(E_F)   0.93 states/eV/atom

6.
## RbAgO2 (PBE)

Data for a relaxed structure of RbAgO2.

Geometry as CIF:
```
data_RbAgO2
_chemical_formula_sum 'Rb2 Ag2 O4'
_space_group_name_H-M_alt 'P 1'
_space_group_IT_number 1
_space_group_name_Hall 'P 1'
_cell_length_a 5.4818
_cell_length_b 5.4818
_cell_length_c 6.8527
_cell_angle_alpha 66.42
_cell_angle_beta 66.42
_cell_angle_gamma 90.00
loop_
_atom_site_label
_atom_site_fract_x
_atom_site_fract_y
_atom_site_fract_z
_atom_site_occupancy
Ag1 0.0000 0.0000 0.0000 1
Ag2 0.7500 0.2500 0.5000 1
O1 0.8750 0.0059 0.7500 1
O2 0.9941 0.6250 0.2500 1
O3 0.7559 0.1250 0.2500 1
O4 0.3750 0.2441 0.7500 1
Rb1 0.2500 0.7500 0.5000 1
Rb2 0.5000 0.5000 0.0000 1
```

Summary:
E_form (uncorrected)   -0.326 eV/atom
Total DFT energy (no corrections)   -3.76 eV per atom
D(E_F)   0.33 states/eV/atom

7.
## ScAsCl2 (PBE)

Data for a relaxed structure of ScAsCl2.

Geometry as CIF:
```
data_ScAsCl2
_chemical_formula_sum 'Sc1 As1 Cl2'
_space_group_name_H-M_alt 'P 1'
_space_group_IT_number 1
_space_group_name_Hall 'P 1'
_cell_length_a 3.2072
_cell_length_b 5.4886
_cell_length_c 4.4822
_cell_angle_alpha 90.00
_cell_angle_beta 90.00
_cell_angle_gamma 90.00
loop_
_atom_site_label
_atom_site_fract_x
_atom_site_fract_y
_atom_site_fract_z
_atom_site_occupancy
Cl1 0.0000 0.0000 0.0000 1
Cl2 0.5000 0.5000 0.0000 1
Sc1 0.5000 0.0000 0.5000 1
As1 0.0000 0.5000 0.5000 1
```

Summary:
E_form (uncorrected)   -0.699 eV/atom
Total DFT energy (no corrections)   -4.37 eV per atom
D(E_F)   0.47 states/eV/atom

8.
## BTeSeN2 (PBE)

Data for a relaxed structure of BTeSeN2.

Geometry as CIF:
```
data_BTeSeN2
_chemical_formula_sum 'B1 Te1 Se1 N2'
_space_group_name_H-M_alt 'P 1'
_space_group_IT_number 1
_space_group_name_Hall 'P 1'
_cell_length_a 3.7948
_cell_length_b 3.7948
_cell_length_c 4.3455
_cell_angle_alpha 90.00
_cell_angle_beta 90.00
_cell_angle_gamma 90.00
loop_
_atom_site_label
_atom_site_fract_x
_atom_site_fract_y
_atom_site_fract_z
_atom_site_occupancy
Te1 0.5000 0.5000 0.5000 1
B1 0.0000 0.0000 0.0000 1
N1 0.5000 0.0000 0.0000 1
N2 0.0000 0.5000 0.0000 1
Se1 0.0000 0.0000 0.5000 1
```

Summary:
E_form (uncorrected)   1.649 eV/atom
Total DFT energy (no corrections)   -4.34 eV per atom
D(E_F)   0.49 states/eV/atom